VASP calculation (PBE-GGA) on crystalline ZnIrCl2 at its relaxed geometry.

Summary:
The distance to the lowest polymorph of the same formula comes out at 554.0 meV per atom. The calculation puts the size of the total moment at 1.0 μB/cell. Its energy relative to the elements, uncorrected is 0.344 eV per atom.

Unit cell a=9.330 b=9.330 c=9.330 alpha=22.62 beta=22.62 gamma=22.62
Each line ends with the local moment (μB).
Fractional positions:
Zn1 0.750 0.750 0.750  0.00
Ir1 0.250 0.250 0.250  0.70
Cl1 0.963 0.963 0.963  0.09
Cl2 0.537 0.537 0.537  0.09

VASP calculation (PBE-GGA) on crystalline ZrCoGeRh at its relaxed geometry.

Summary:
The calculation puts the size of the total moment at 1.8 μB/cell. For the energy, the calculation gives -29.720 eV for the cell shown.

Unit cell a=4.417 b=4.417 c=4.417 alpha=60.00 beta=60.00 gamma=60.00
Each line ends with the local moment (μB).
Fractional positions:
Co1 0.000 0.000 0.000  1.34
Ge1 0.250 0.250 0.250  0.06
Rh1 0.500 0.500 0.500  0.40
Zr1 0.750 0.750 0.750  0.00

VASP calculation (PBE-GGA) on crystalline MgZr2TlI at its relaxed geometry.

Summary:
The calculation puts the size of the total moment at 3.7 μB/cell. Its energy relative to the elements, uncorrected is 0.822 eV per atom.

Unit cell a=5.618 b=5.085 c=5.618 alpha=90.00 beta=90.00 gamma=90.00
Each line ends with the local moment (μB).
Fractional positions:
I1 0.500 0.500 0.500  0.01
Tl1 0.000 0.000 0.000  0.01
Mg1 0.000 0.500 0.000  0.00
Zr1 0.000 0.000 0.500  1.10
Zr2 0.500 0.000 0.000  0.97

VASP calculation (PBE-GGA) on crystalline PmBiAu2 at its relaxed geometry.

Summary:
The distance to the lowest polymorph of the same formula comes out at 69.6 meV per atom. The calculation puts the size of the total moment at 0.0 μB/cell.

Unit cell a=4.482 b=4.633 c=4.633 alpha=90.00 beta=90.00 gamma=90.00
Fractional positions:
Au1 0.000 0.000 0.500
Au2 0.000 0.500 0.000
Bi1 0.500 0.000 0.000
Pm1 0.500 0.500 0.500

VASP calculation (PBE-GGA) on crystalline FeRhAu at its relaxed geometry.

Summary:
The distance to the lowest polymorph of the same formula comes out at 27.7 meV per atom. The calculation puts the size of the total moment at 3.8 μB/cell.

Unit cell a=4.982 b=4.982 c=4.982 alpha=145.61 beta=139.20 gamma=54.39
Each line ends with the local moment (μB).
Fractional positions:
Rh1 0.317 0.317 0.000  0.68
Au1 0.004 0.004 0.000  0.04
Fe1 0.679 0.679 0.000  3.10

VASP calculation (PBE-GGA) on crystalline CaGaGePd at its relaxed geometry.

Summary:
The calculation puts the size of the total moment at 0.0 μB/cell. For the energy, the calculation gives -17.217 eV for the cell shown.

Unit cell a=4.323 b=4.323 c=5.835 alpha=68.26 beta=68.26 gamma=60.00
Fractional positions:
Ca1 0.813 0.813 0.560
Ga1 0.265 0.265 0.204
Ge1 0.023 0.023 0.932
Pd1 0.625 0.625 0.126

VASP calculation (PBE-GGA) on crystalline LiBe3Rh at its relaxed geometry.

Summary:
The distance to the lowest polymorph of the same formula comes out at 0.0 meV per atom. The calculation puts the size of the total moment at 0.0 μB/cell.

Unit cell a=4.220 b=4.220 c=4.220 alpha=90.00 beta=90.00 gamma=90.00
Fractional positions:
Be1 0.000 0.500 0.000
Be2 0.000 0.000 0.500
Be3 0.500 0.000 0.000
Rh1 0.000 0.000 0.000
Li1 0.500 0.500 0.500

VASP calculation (PBE-GGA) on crystalline Pr3Si6Pd2Rh at its relaxed geometry.

Summary:
The calculation puts the size of the total moment at 0.0 μB/cell. Its energy relative to the elements, uncorrected is -0.514 eV per atom.

Unit cell a=5.906 b=5.906 c=7.950 alpha=90.00 beta=90.00 gamma=120.00
Fractional positions:
Pr1 0.333 0.667 0.663
Pr2 0.667 0.333 0.337
Pr3 0.000 0.000 0.000
Si1 0.609 0.805 0.313
Si2 0.195 0.391 0.313
Si3 0.195 0.805 0.313
Si4 0.805 0.609 0.687
Si5 0.391 0.195 0.687
Si6 0.805 0.195 0.687
Pd1 0.667 0.333 0.945
Pd2 0.333 0.667 0.055
Rh1 0.000 0.000 0.500

VASP calculation (PBE-GGA) on crystalline SnBI2O at its relaxed geometry.

Summary:
The distance to the lowest polymorph of the same formula comes out at 0.0 meV per atom. The calculation puts the size of the total moment at 0.0 μB/cell. Its energy relative to the elements, uncorrected is 0.061 eV per atom.

Unit cell a=6.746 b=6.746 c=2.924 alpha=90.00 beta=90.00 gamma=90.00
Fractional positions:
I1 0.000 0.500 0.000
I2 0.500 0.000 0.000
B1 0.000 0.000 0.000
Sn1 0.500 0.500 0.500
O1 0.000 0.000 0.500

VASP calculation (PBE-GGA) on crystalline Ho2Ga6Os at its relaxed geometry.

Summary:
The calculation puts the size of the total moment at 0.0 μB/cell. For the energy, the calculation gives -42.482 eV for the cell shown.

Unit cell a=5.876 b=5.715 c=5.715 alpha=59.98 beta=90.04 gamma=90.04
Fractional positions:
Ho1 0.864 0.667 0.667
Ho2 0.136 0.333 0.333
Ga1 0.322 0.349 0.826
Ga2 0.322 0.826 0.826
Ga3 0.322 0.826 0.349
Ga4 0.678 0.651 0.174
Ga5 0.678 0.174 0.174
Ga6 0.678 0.174 0.651
Os1 0.000 0.000 0.000

VASP calculation (PBE-GGA) on crystalline IrAuSe2 at its relaxed geometry.

Summary:
The calculation puts the size of the total moment at 0.0 μB/cell. Its energy relative to the elements, uncorrected is 0.772 eV per atom.

Unit cell a=4.675 b=4.675 c=4.675 alpha=60.00 beta=60.00 gamma=60.00
Fractional positions:
Au1 0.500 0.500 0.500
Ir1 0.750 0.750 0.750
Se1 0.000 0.000 0.000
Se2 0.250 0.250 0.250

VASP calculation (PBE-GGA) on crystalline AgB2Se4 at its relaxed geometry.

Summary:
The distance to the lowest polymorph of the same formula comes out at 179.5 meV per atom. The calculation puts the size of the total moment at 0.0 μB/cell. Its energy relative to the elements, uncorrected is 0.184 eV per atom.

Unit cell a=7.842 b=8.848 c=10.962 alpha=106.16 beta=110.36 gamma=128.27
Fractional positions:
Ag1 0.340 0.840 0.426
Ag2 0.910 0.910 0.074
B1 0.625 0.375 0.750
B2 0.625 0.875 0.250
B3 0.625 0.375 0.250
B4 0.125 0.375 0.750
Se1 0.958 0.166 0.315
Se2 0.292 0.584 0.185
Se3 0.930 0.713 0.853
Se4 0.853 0.066 0.693
Se5 0.496 0.265 0.350
Se6 0.320 0.037 0.647
Se7 0.397 0.684 0.807
Se8 0.754 0.485 0.150

VASP calculation (PBE-GGA) on crystalline Rb2HgPb2 at its relaxed geometry.

Summary:
The distance to the lowest polymorph of the same formula comes out at 0.0 meV per atom. The calculation puts the size of the total moment at 0.0 μB/cell.

Unit cell a=7.224 b=6.601 c=10.634 alpha=93.16 beta=90.00 gamma=123.17
Fractional positions:
Rb1 0.523 0.318 0.171
Rb2 0.205 0.682 0.329
Rb3 0.477 0.682 0.829
Rb4 0.795 0.318 0.671
Hg1 0.851 0.000 0.250
Hg2 0.149 0.000 0.750
Pb1 0.742 0.760 0.489
Pb2 0.982 0.240 0.011
Pb3 0.258 0.240 0.511
Pb4 0.018 0.760 0.989